(one)
{"formula": "Mg6NbCuO8", "functional": "PBE", "state": "relaxed", "magmom_total_mub_per_atom": 0.091, "rho_kg_m3": 4350, "lattice": [[-1.726, 0.143, -3.912], [-0.551, -4.241, 0.088], [-8.131, 1.132, 3.628]], "species": ["Mg", "Mg", "O", "Mg", "Nb", "O", "Mg", "O", "O", "Mg", "O", "O", "Mg", "O", "O", "Cu"], "fractional_positions": [[0.500, 0.000, 0.232], [0.000, 0.500, 0.768], [0.500, 0.500, 0.750], [0.500, 0.000, 0.768], [0.000, 0.000, 0.500], [0.000, 0.000, 0.262], [0.500, 0.500, 0.500], [0.500, 0.000, 0.500], [0.000, 0.500, 0.000], [0.000, 0.500, 0.232], [0.000, 0.500, 0.500], [0.000, 0.000, 0.738], [0.500, 0.500, 0.000], [0.500, 0.500, 0.250], [0.500, 0.000, 0.000], [0.000, 0.000, 0.000]]}

---

(two)
{"formula": "Mg6NbCuO8", "functional": "PBE", "state": "relaxed", "magmom_total_mub_per_atom": 0.073, "rho_kg_m3": 4409, "lattice": [[-2.113, 0.706, -3.648], [-2.375, -3.484, 0.701], [-5.929, 4.925, 4.387]], "species": ["Mg", "O", "Mg", "Mg", "O", "Mg", "Mg", "O", "O", "O", "Cu", "O", "Mg", "O", "O", "Nb"], "fractional_positions": [[0.500, 0.500, 0.500], [0.000, 0.500, 0.000], [0.500, 0.000, 0.743], [0.000, 0.000, 0.500], [0.000, 0.500, 0.500], [0.000, 0.500, 0.257], [0.500, 0.000, 0.257], [0.500, 0.000, 0.000], [0.000, 0.000, 0.267], [0.500, 0.500, 0.255], [0.000, 0.000, 0.000], [0.500, 0.500, 0.745], [0.000, 0.500, 0.743], [0.500, 0.000, 0.500], [0.000, 0.000, 0.733], [0.500, 0.500, 0.000]]}

---

Top of the stability list: (two), leading by 15 meV/atom.

---

(one)
{"formula": "NdMg4Cu2", "functional": "PBE", "state": "relaxed", "magmom_total_mub_per_atom": 0.000, "rho_kg_m3": 4172, "lattice": [[4.291, 0.000, 0.000], [0.000, 8.268, 0.000], [0.000, 0.000, 8.268]], "species": ["Mg", "Mg", "Nd", "Mg", "Mg", "Mg", "Mg", "Cu", "Mg", "Cu", "Mg", "Cu", "Cu", "Nd"], "fractional_positions": [[0.500, 0.833, 0.415], [0.500, 0.415, 0.833], [0.500, 0.000, 0.000], [0.500, 0.585, 0.167], [0.000, 0.667, 0.915], [0.500, 0.167, 0.585], [0.000, 0.915, 0.667], [0.500, 0.283, 0.283], [0.000, 0.333, 0.085], [0.000, 0.783, 0.217], [0.000, 0.085, 0.333], [0.500, 0.717, 0.717], [0.000, 0.217, 0.783], [0.000, 0.500, 0.500]]}

---

(two)
{"formula": "NdMg4Cu2", "functional": "PBE", "state": "relaxed", "magmom_total_mub_per_atom": 0.000, "rho_kg_m3": 4111, "lattice": [[4.277, 0.000, 0.000], [0.000, 4.287, 0.000], [0.000, -2.143, 8.121]], "species": ["Mg", "Mg", "Nd", "Mg", "Mg", "Cu", "Cu"], "fractional_positions": [[0.500, 0.176, 0.352], [0.000, 0.676, 0.352], [0.000, 0.000, 0.000], [0.500, 0.824, 0.648], [0.000, 0.324, 0.648], [0.500, 0.574, 0.149], [0.500, 0.426, 0.851]]}

---

Top of the stability list: (one), leading by 5 meV/atom.

---

(one)
{"formula": "MgCu3O", "functional": "PBE", "state": "relaxed", "magmom_total_mub_per_atom": 0.000, "rho_kg_m3": 4184, "lattice": [[-1.589, 2.287, 3.546], [-4.002, 0.384, -2.041], [-1.337, -3.867, 1.895]], "species": ["Cu", "Cu", "O", "Mg", "Cu"], "fractional_positions": [[0.500, 0.000, 0.000], [0.000, 0.000, 0.500], [0.500, 0.500, 0.500], [0.000, 0.000, 0.000], [0.000, 0.500, 0.000]]}

---

(two)
{"formula": "MgCu3O", "functional": "PBE", "state": "relaxed", "magmom_total_mub_per_atom": 0.000, "rho_kg_m3": 5602, "lattice": [[-3.236, -2.379, -0.774], [2.438, -2.715, -1.849], [0.562, -1.924, 3.566]], "species": ["O", "Mg", "Cu", "Cu", "Cu"], "fractional_positions": [[0.000, 0.000, 0.000], [0.500, 0.500, 0.500], [0.000, 0.500, 0.000], [0.500, 0.000, 0.000], [0.000, 0.000, 0.500]]}

---

Top of the stability list: (two), leading by 1405 meV/atom.

---

(one)
{"formula": "Mg4CuO5", "functional": "PBE", "state": "relaxed", "magmom_total_mub_per_atom": 0.078, "rho_kg_m3": 4148, "lattice": [[7.968, 0.007, -0.005], [6.264, 4.925, 0.005], [-6.835, -3.275, 2.458]], "species": ["O", "O", "Mg", "Mg", "Cu", "O", "O", "O", "Mg", "Mg"], "fractional_positions": [[0.300, 0.800, 0.500], [0.700, 0.200, 0.500], [0.201, 0.201, 0.000], [0.401, 0.401, 0.000], [0.000, 0.000, 0.000], [0.898, 0.398, 0.500], [0.500, 0.000, 0.500], [0.102, 0.602, 0.500], [0.799, 0.799, 0.000], [0.599, 0.599, 0.000]]}

---

(two)
{"formula": "Mg4CuO5", "functional": "PBE", "state": "relaxed", "magmom_total_mub_per_atom": 0.012, "rho_kg_m3": 4158, "lattice": [[-0.269, 9.764, 4.709], [-3.829, 9.861, 2.385], [0.961, -10.630, -1.913]], "species": ["O", "Cu", "O", "O", "Mg", "Mg", "O", "Mg", "O", "Mg"], "fractional_positions": [[0.100, 0.100, 0.000], [0.000, 0.000, 0.000], [0.900, 0.900, 0.000], [0.700, 0.700, 0.000], [0.800, 0.800, 0.000], [0.401, 0.401, 0.000], [0.300, 0.300, 0.000], [0.200, 0.200, 0.000], [0.500, 0.500, 0.000], [0.599, 0.599, 0.000]]}

---

Top of the stability list: (two), leading by 14 meV/atom.

---

(one)
{"formula": "Mg2CuO3", "functional": "PBE", "state": "relaxed", "magmom_total_mub_per_atom": 0.056, "rho_kg_m3": 4601, "lattice": [[-1.000, -2.594, 1.251], [0.724, -2.005, -3.580], [4.363, 1.342, 2.555]], "species": ["O", "O", "O", "Mg", "Cu", "Mg"], "fractional_positions": [[0.500, 0.000, 0.500], [0.172, 0.672, 0.844], [0.828, 0.328, 0.156], [0.165, 0.165, 0.831], [0.500, 0.500, 0.500], [0.835, 0.835, 0.169]]}

---

(two)
{"formula": "Mg2CuO3", "functional": "PBE", "state": "relaxed", "magmom_total_mub_per_atom": 0.169, "rho_kg_m3": 4227, "lattice": [[-0.076, -4.398, -2.733], [3.756, 0.829, 3.467], [-3.028, -2.333, 3.839]], "species": ["O", "Mg", "Cu", "O", "O", "O", "Mg", "O", "O", "Cu", "Mg", "Mg"], "fractional_positions": [[0.631, 0.000, 0.250], [0.333, 0.667, 0.500], [0.000, 0.000, 0.250], [0.369, 0.369, 0.250], [0.000, 0.631, 0.250], [0.631, 0.631, 0.750], [0.667, 0.333, 0.000], [0.000, 0.369, 0.750], [0.369, 0.000, 0.750], [0.000, 0.000, 0.750], [0.333, 0.667, 0.000], [0.667, 0.333, 0.500]]}

---

Top of the stability list: (one), leading by 72 meV/atom.

---

(one)
{"formula": "MgCuP4Ru2O14", "functional": "PBE", "state": "relaxed", "magmom_total_mub_per_atom": 0.048, "rho_kg_m3": 3832, "lattice": [[5.058, 0.002, -0.008], [-2.069, 6.524, -0.005], [-0.250, -0.411, 8.376]], "species": ["O", "P", "Ru", "O", "O", "Cu", "Mg", "O", "O", "O", "O", "P", "O", "Ru", "O", "O", "O", "O", "O", "O", "P", "P"], "fractional_positions": [[0.199, 0.523, 0.838], [0.614, 0.252, 0.190], [0.997, 0.000, 0.007], [0.629, 0.774, 0.942], [0.500, 0.758, 0.638], [0.983, 0.005, 0.483], [0.448, 0.205, 0.814], [0.737, 0.414, 0.667], [0.843, 0.179, 0.844], [0.214, 0.559, 0.340], [0.148, 0.833, 0.163], [0.981, 0.348, 0.730], [0.496, 0.250, 0.356], [0.496, 0.506, 0.494], [0.797, 0.484, 0.156], [0.831, 0.728, 0.395], [0.796, 0.110, 0.183], [0.163, 0.266, 0.613], [0.392, 0.221, 0.050], [0.232, 0.905, 0.824], [0.014, 0.659, 0.269], [0.410, 0.755, 0.810]]}

---

(two)
{"formula": "MgCuP4Ru2O14", "functional": "PBE", "state": "relaxed", "magmom_total_mub_per_atom": 0.049, "rho_kg_m3": 3914, "lattice": [[-1.650, 4.521, 1.456], [-2.284, -1.166, -6.225], [-6.701, -3.626, 3.601]], "species": ["O", "O", "Cu", "O", "Mg", "O", "O", "O", "O", "P", "O", "O", "P", "O", "P", "Ru", "O", "O", "O", "P", "O", "Ru"], "fractional_positions": [[0.884, 0.178, 0.854], [0.375, 0.210, 0.085], [0.943, 0.036, 0.417], [0.804, 0.460, 0.177], [0.415, 0.091, 0.614], [0.257, 0.937, 0.822], [0.499, 0.796, 0.627], [0.785, 0.079, 0.195], [0.260, 0.562, 0.331], [0.036, 0.647, 0.273], [0.152, 0.278, 0.596], [0.873, 0.725, 0.410], [0.980, 0.344, 0.737], [0.182, 0.548, 0.824], [0.604, 0.229, 0.206], [0.512, 0.512, 0.502], [0.509, 0.224, 0.385], [0.148, 0.815, 0.156], [0.641, 0.773, 0.923], [0.415, 0.772, 0.805], [0.717, 0.381, 0.671], [0.011, 0.996, 0.008]]}

---

Top of the stability list: (one), leading by 8 meV/atom.

---

(one)
{"formula": "MgCuP4Ru2O14", "functional": "PBE", "state": "relaxed", "magmom_total_mub_per_atom": 0.049, "rho_kg_m3": 3906, "lattice": [[-0.240, 4.958, -0.324], [-2.499, -2.666, -5.810], [-7.469, -0.329, 3.790]], "species": ["O", "O", "O", "O", "P", "O", "Mg", "Cu", "Ru", "Ru", "O", "O", "P", "P", "O", "P", "O", "O", "O", "O", "O", "O"], "fractional_positions": [[0.728, 0.438, 0.686], [0.277, 0.564, 0.296], [0.792, 0.101, 0.178], [0.786, 0.483, 0.170], [0.382, 0.763, 0.797], [0.513, 0.232, 0.375], [0.422, 0.533, 0.063], [0.019, 0.999, 0.515], [0.995, 0.001, 0.997], [0.501, 0.498, 0.500], [0.192, 0.523, 0.842], [0.482, 0.759, 0.628], [0.954, 0.342, 0.729], [0.038, 0.661, 0.272], [0.607, 0.777, 0.935], [0.604, 0.233, 0.204], [0.143, 0.827, 0.155], [0.122, 0.288, 0.588], [0.200, 0.902, 0.814], [0.846, 0.168, 0.839], [0.898, 0.716, 0.422], [0.374, 0.230, 0.072]]}

---

(two)
{"formula": "MgCuP4Ru2O14", "functional": "PBE", "state": "relaxed", "magmom_total_mub_per_atom": 0.049, "rho_kg_m3": 3687, "lattice": [[-1.639, -1.874, 4.399], [6.516, -1.855, -0.503], [2.336, 7.622, 3.535]], "species": ["O", "O", "O", "P", "O", "O", "O", "Cu", "Ru", "P", "O", "O", "O", "O", "O", "O", "O", "Ru", "P", "Mg", "P", "O"], "fractional_positions": [[0.635, 0.761, 0.923], [0.781, 0.501, 0.169], [0.785, 0.119, 0.176], [0.607, 0.271, 0.200], [0.374, 0.218, 0.074], [0.216, 0.556, 0.341], [0.528, 0.258, 0.367], [0.000, 0.005, 0.500], [0.499, 0.501, 0.501], [0.004, 0.659, 0.284], [0.163, 0.273, 0.593], [0.232, 0.885, 0.845], [0.835, 0.735, 0.405], [0.789, 0.452, 0.654], [0.468, 0.751, 0.630], [0.860, 0.166, 0.821], [0.217, 0.504, 0.828], [0.991, 0.006, 0.996], [0.990, 0.340, 0.719], [0.462, 0.916, 0.064], [0.393, 0.734, 0.797], [0.130, 0.834, 0.176]]}

---

(three)
{"formula": "MgCuP4Ru2O14", "functional": "PBE", "state": "relaxed", "magmom_total_mub_per_atom": 0.049, "rho_kg_m3": 3789, "lattice": [[-0.181, -4.293, -2.546], [3.317, -1.420, 5.836], [-7.743, -0.996, 3.462]], "species": ["O", "O", "O", "P", "O", "P", "O", "O", "Ru", "O", "O", "O", "P", "Cu", "O", "O", "O", "O", "P", "Ru", "Mg", "O"], "fractional_positions": [[0.792, 0.434, 0.668], [0.217, 0.563, 0.346], [0.594, 0.788, 0.975], [0.603, 0.262, 0.187], [0.500, 0.739, 0.673], [0.378, 0.724, 0.836], [0.106, 0.846, 0.201], [0.147, 0.836, 0.829], [0.499, 0.492, 0.508], [0.828, 0.141, 0.181], [0.764, 0.498, 0.172], [0.880, 0.131, 0.805], [0.997, 0.664, 0.292], [0.024, 0.163, 0.385], [0.382, 0.200, 0.048], [0.837, 0.722, 0.434], [0.177, 0.258, 0.597], [0.501, 0.248, 0.353], [0.001, 0.327, 0.726], [0.990, 0.992, 0.011], [0.903, 0.886, 0.648], [0.226, 0.486, 0.850]]}

---

Top of the stability list: (three), leading by 6 meV/atom.